First-principles (PBE) data for a relaxed LiHfSc2C crystal, as listed in Alexandria.

Computed properties:
Its volume is 18.97 Å³ per atom. As for the magnetization: 0.123 μB per atom. Its energy relative to the elements is -0.13 eV/atom. The electronic total energy is -6.88 eV per atom.

Lattice parameters (Å, degrees): 4.5997 4.5997 4.4819 90.00 90.00 90.00
With the nearest neighbours (Å) after each atom.
Space group P4/mmm (No. 123)
Inequivalent atoms, fractional coordinates:
Li  0.0000  0.0000  0.0000 [1 per cell]  8 Sc 3.21, 4 Hf 3.25
Hf  0.5000  0.5000  0.0000 [1 per cell]  2 C 2.24
Sc  0.0000  0.5000  0.5000 [2 per cell]  2 C 2.30
C  0.5000  0.5000  0.5000 [1 per cell]  2 Hf 2.24, 4 Sc 2.30